{"formula": "FeTcSn", "functional": "PBE-GGA", "state": "relaxed", "de_polymorph_mev_per_atom": 0, "magmom_total_mub_per_atom": 0.091, "lattice": [[-0.199, -1.356, 3.897], [-2.728, 1.653, 2.625], [-3.258, -2.208, 1.255]], "species": ["Tc", "Sn", "Fe"], "fractional_positions": [[0.750, 0.750, 0.750], [0.250, 0.250, 0.250], [0.000, 0.000, 0.000]]}

{"formula": "YLu6Co2Te2", "functional": "PBE-GGA", "state": "relaxed", "e_tot_ev_per_atom": -5.55, "magmom_total_mub_per_atom": 0.002, "lattice": [[-1.896, 7.683, 4.647], [1.896, -7.683, 4.647], [1.896, 7.683, -4.647]], "species": ["Y", "Co", "Co", "Lu", "Lu", "Lu", "Lu", "Lu", "Lu", "Te", "Te"], "fractional_positions": [[0.475, 0.475, 0.000], [0.643, 0.405, 0.238], [0.166, 0.405, 0.762], [0.788, 0.101, 0.687], [0.396, 0.746, 0.650], [0.095, 0.746, 0.350], [0.758, 0.894, 0.864], [0.414, 0.101, 0.313], [0.029, 0.894, 0.136], [0.744, 0.244, 0.500], [0.137, 0.137, 0.000]]}

{"formula": "Tm2Fe14B", "functional": "PBE-GGA", "state": "relaxed", "e_tot_ev_per_atom": -7.88, "magmom_total_mub_per_atom": 1.811, "lattice": [[-6.509, 4.907, 3.028], [-5.242, -6.937, -0.026], [3.265, -2.508, 11.083]], "species": ["Fe", "Fe", "Fe", "Fe", "Fe", "Fe", "Fe", "Fe", "Fe", "Fe", "Fe", "Fe", "Fe", "Fe", "Fe", "Fe", "Fe", "Fe", "Fe", "Fe", "Fe", "Fe", "Fe", "Fe", "Fe", "Fe", "Fe", "Fe", "Fe", "Fe", "Fe", "Fe", "Fe", "Fe", "Fe", "Fe", "Fe", "Fe", "Fe", "Fe", "Fe", "Fe", "Fe", "Fe", "Fe", "Fe", "Fe", "Fe", "Fe", "Fe", "Fe", "Fe", "Fe", "Fe", "Fe", "Fe", "B", "B", "B", "B", "Tm", "Tm", "Tm", "Tm", "Tm", "Tm", "Tm", "Tm"], "fractional_positions": [[0.463, 0.142, 0.174], [0.642, 0.037, 0.326], [0.358, 0.963, 0.674], [0.276, 0.935, 0.126], [0.500, 0.500, 0.384], [0.684, 0.316, 0.746], [0.963, 0.358, 0.674], [0.776, 0.565, 0.626], [0.963, 0.358, 0.326], [0.184, 0.184, 0.246], [0.724, 0.065, 0.126], [0.500, 0.000, 0.000], [0.500, 0.500, 0.616], [0.358, 0.963, 0.326], [0.724, 0.065, 0.874], [0.597, 0.597, 0.199], [0.537, 0.858, 0.174], [0.276, 0.935, 0.874], [0.858, 0.537, 0.826], [0.000, 0.500, 0.000], [0.037, 0.642, 0.326], [0.224, 0.435, 0.626], [0.000, 0.500, 0.500], [0.903, 0.097, 0.301], [0.537, 0.858, 0.826], [0.184, 0.184, 0.754], [0.316, 0.684, 0.254], [0.000, 0.000, 0.116], [0.142, 0.463, 0.826], [0.142, 0.463, 0.174], [0.858, 0.537, 0.174], [0.565, 0.776, 0.626], [0.935, 0.276, 0.874], [0.565, 0.776, 0.374], [0.316, 0.684, 0.746], [0.816, 0.816, 0.246], [0.097, 0.903, 0.699], [0.097, 0.903, 0.301], [0.776, 0.565, 0.374], [0.684, 0.316, 0.254], [0.935, 0.276, 0.126], [0.463, 0.142, 0.826], [0.403, 0.403, 0.801], [0.065, 0.724, 0.126], [0.224, 0.435, 0.374], [0.037, 0.642, 0.674], [0.500, 0.000, 0.500], [0.065, 0.724, 0.874], [0.642, 0.037, 0.674], [0.597, 0.597, 0.801], [0.403, 0.403, 0.199], [0.000, 0.000, 0.884], [0.435, 0.224, 0.626], [0.903, 0.097, 0.699], [0.816, 0.816, 0.754], [0.435, 0.224, 0.374], [0.126, 0.874, 0.000], [0.874, 0.126, 0.000], [0.626, 0.626, 0.500], [0.374, 0.374, 0.500], [0.734, 0.266, 0.500], [0.644, 0.356, 0.000], [0.234, 0.234, 0.000], [0.356, 0.644, 0.000], [0.766, 0.766, 0.000], [0.144, 0.144, 0.500], [0.856, 0.856, 0.500], [0.266, 0.734, 0.500]]}

{"formula": "Hf3As4H4", "functional": "PBE-GGA", "state": "relaxed", "e_tot_ev_per_atom": -6.02, "magmom_total_mub_per_atom": 0.000, "lattice": [[6.575, 0.000, 0.000], [0.000, 3.498, 0.000], [-0.092, 0.000, 6.987]], "species": ["H", "H", "H", "H", "As", "As", "As", "As", "Hf", "Hf", "Hf"], "fractional_positions": [[0.946, 0.000, 0.888], [0.430, 0.500, 0.422], [0.934, 0.500, 0.095], [0.594, 0.000, 0.579], [0.325, 0.500, 0.063], [0.840, 0.500, 0.452], [0.192, 0.000, 0.568], [0.702, 0.000, 0.934], [0.018, 0.000, 0.197], [0.522, 0.000, 0.306], [0.502, 0.500, 0.694]]}

{"formula": "HfTcMo2", "functional": "PBE-GGA", "state": "relaxed", "e_tot_ev_per_atom": -10.67, "magmom_total_mub_per_atom": 0.000, "lattice": [[-0.966, -2.527, 3.634], [-4.278, -1.247, 0.820], [-1.236, -4.328, -0.515]], "species": ["Tc", "Hf", "Mo", "Mo"], "fractional_positions": [[0.500, 0.500, 0.500], [0.250, 0.250, 0.250], [0.000, 0.000, 0.000], [0.750, 0.750, 0.750]]}

{"formula": "Na2ZrSe3", "functional": "PBE-GGA", "state": "relaxed", "e_tot_ev_per_atom": -4.78, "magmom_total_mub_per_atom": 0.000, "lattice": [[-6.652, -1.947, -5.519], [1.796, -3.399, -0.966], [-3.495, -3.906, 7.245]], "species": ["Se", "Se", "Se", "Se", "Se", "Se", "Na", "Na", "Na", "Na", "Zr", "Zr"], "fractional_positions": [[0.957, 0.750, 0.167], [0.043, 0.250, 0.833], [0.743, 0.750, 0.571], [0.655, 0.250, 0.949], [0.257, 0.250, 0.429], [0.345, 0.750, 0.051], [0.523, 0.250, 0.652], [0.870, 0.250, 0.382], [0.477, 0.750, 0.348], [0.130, 0.750, 0.618], [0.826, 0.750, 0.869], [0.174, 0.250, 0.131]]}

{"formula": "ZnW", "functional": "PBE-GGA", "state": "relaxed", "de_polymorph_mev_per_atom": 45, "magmom_total_mub_per_atom": 0.001, "lattice": [[9.845, 0.000, 0.000], [0.000, 2.685, 0.000], [0.000, 0.000, 4.621]], "species": ["W", "W", "W", "W", "Zn", "Zn", "Zn", "Zn"], "fractional_positions": [[0.519, 0.000, 0.000], [0.398, 0.500, 0.500], [0.249, 0.500, 0.000], [0.668, 0.000, 0.500], [0.915, 0.500, 0.500], [0.765, 0.500, 0.000], [0.002, 0.000, 0.000], [0.151, 0.000, 0.500]]}

{"formula": "InCuBiIr", "functional": "PBE-GGA", "state": "relaxed", "de_polymorph_mev_per_atom": 0, "magmom_total_mub_per_atom": 0.000, "lattice": [[2.161, -2.453, -3.463], [0.175, -4.755, 0.203], [-2.579, -2.610, -3.036]], "species": ["Ir", "In", "Cu", "Bi"], "fractional_positions": [[0.250, 0.250, 0.250], [0.000, 0.000, 0.000], [0.750, 0.750, 0.750], [0.500, 0.500, 0.500]]}